Computed, not measured: a geometry-optimized Ni2SbTe structure at the PBEsol level of DFT.

extended XYZ file:
```
4
Lattice="3.9448 0.0000 0.0000 -1.9724 3.4163 0.0000 0.0000 0.0000 5.1186" Properties=species:S:1:pos:R:3 pbc="T T T"
Sb 0.0000 2.2776 2.5593
Te 1.9724 1.1388 0.0000
Ni 0.0000 0.0000 1.2884
Ni 0.0000 0.0000 3.8302
```


Computed, not measured: a geometry-optimized Ni3Sb2Te2 structure at the PBEsol level of DFT.

extended XYZ file:
```
7
Lattice="3.9145 0.0000 0.0000 1.9572 6.0722 -0.0182 1.9572 2.5049 5.6268" Properties=species:S:1:pos:R:3 pbc="T T T"
Sb 1.9572 2.6569 3.0135
Sb 3.9145 4.3664 0.1864
Te 5.8717 5.9360 2.6149
Te 3.9145 4.1939 5.4145
Ni 3.9145 2.1491 1.4661
Ni 3.9145 6.4211 4.1363
Ni 3.9145 8.5515 5.6032
```


Computed, not measured: a geometry-optimized NiSbTe2 structure at the PBEsol level of DFT.

extended XYZ file:
```
4
Lattice="3.6548 0.0000 0.0000 0.0000 3.8289 0.0000 0.0000 -1.9144 6.8467" Properties=species:S:1:pos:R:3 pbc="T T T"
Ni 0.0000 0.0000 3.7120
Sb 1.8274 1.9144 3.0709
Te 0.0000 0.0000 1.1855
Te 1.8274 0.0000 5.4719
```


Computed, not measured: a geometry-optimized Ni2SbTe structure at the PBEsol level of DFT.

extended XYZ file:
```
4
Lattice="3.2967 0.0000 0.0000 0.0000 3.2945 0.0000 0.0000 0.0000 6.2161" Properties=species:S:1:pos:R:3 pbc="T T T"
Ni 0.0000 0.0000 4.6294
Ni 0.0000 0.0000 1.5867
Sb 1.6484 1.6473 0.0000
Te 1.6484 1.6473 3.1080
```


Computed, not measured: a geometry-optimized ZnNiSb2Te structure at the PBEsol level of DFT.

extended XYZ file:
```
5
Lattice="-2.8580 1.8922 -3.6681 -3.8647 0.3394 3.1863 1.4939 4.7813 1.3026" Properties=species:S:1:pos:R:3 pbc="T T T"
Sb -1.9324 0.1697 1.5931
Sb -1.4290 0.9461 -1.8340
Zn 0.0000 0.0000 0.0000
Te 0.7469 2.3906 0.6513
Ni -2.6144 3.5065 0.4104
```


Computed, not measured: a geometry-optimized ZrTiNiSb2 structure at the PBEsol level of DFT.

extended XYZ file:
```
5
Lattice="-3.5729 2.3319 0.0244 -2.2969 -3.5489 2.8377 1.5713 2.3632 4.2273" Properties=species:S:1:pos:R:3 pbc="T T T"
Sb 0.7856 1.1816 2.1136
Sb -1.1484 -1.7745 1.4189
Ti 0.0000 0.0000 0.0000
Zr -2.1492 0.5731 3.5447
Ni -1.7864 1.1660 0.0122
```


Computed, not measured: a geometry-optimized TlNiSb2 structure at the PBEsol level of DFT.

extended XYZ file:
```
4
Lattice="3.9899 0.0000 0.0000 0.0000 5.3218 -0.1430 0.0000 -2.6761 4.6032" Properties=species:S:1:pos:R:3 pbc="T T T"
Sb 0.0000 1.3122 0.7291
Sb 0.0000 1.3335 3.7311
Tl 1.9950 -1.3380 2.3016
Ni 1.9950 2.6609 -0.0715
```


Computed, not measured: a geometry-optimized TlNiSb2 structure at the PBEsol level of DFT.

extended XYZ file:
```
4
Lattice="-1.0015 -3.0062 -0.4077 1.4156 -0.5636 2.8080 -7.5397 1.9433 4.1909" Properties=species:S:1:pos:R:3 pbc="T T T"
Ni 0.2071 -1.7849 1.2002
Sb -1.3552 0.3493 0.7533
Sb -6.1844 1.5940 3.4376
Tl -3.5628 -0.8132 3.2956
```


no.,raw total energy (eV/cell),size of the total moment (μB/f.u.)
1,-21.48,0.00
2,-36.49,0.00
3,-17.98,0.00
4,-19.75,0.00
5,-15.27,0.26
6,-30.65,0.00
7,-18.20,0.00
8,-17.89,0.00